(1)
This record from Alexandria via LeMat-Bulk describes an optimized crystal structure of In2SiC. The functional is PBE.

Results
The density of states at the Fermi level comes out at 0.868 states/eV/atom. For the total magnetic moment, the calculation gives 0.0 μB per formula unit. As for the mass density: 6.11 g/cm3. The formation energy (no corrections) comes out at 1.436 eV per atom. The value obtained for the offset from the most stable computed form is 511 meV per atom.

Unit cell a=4.6967 b=4.6967 c=4.6967 alpha=60.00 beta=60.00 gamma=60.00
Element x y z (fractional)
In: 0.2500 0.2500 0.2500
In: 0.7500 0.7500 0.7500
Si: 0.5000 0.5000 0.5000
C: 0.0000 0.0000 0.0000

=====

(2)
This record from Alexandria via LeMat-Bulk describes an optimized crystal structure of LaCrPb. The functional is PBE.

Results
The density of states at the Fermi level comes out at 0.958 states/eV/atom. For the total magnetic moment, the calculation gives 4.2 μB per formula unit. As for the mass density: 8.07 g/cm3. The calculation puts the calculated total energy at -18.31 eV/cell.

Unit cell a=4.9375 b=4.9375 c=3.8800 alpha=90.00 beta=90.00 gamma=120.00
Site moments in Bohr magnetons follow the coordinates.
Element x y z (fractional)
Pb: 0.6667 0.3333 0.8337  -0.06
La: 0.3333 0.6667 0.3334  0.03
Cr: 0.0000 0.0000 0.8329  3.69

=====

(3)
This record from Alexandria via LeMat-Bulk describes an optimized crystal structure of Ba2GaSe4. The functional is PBE.

Results
For the total magnetic moment, the calculation gives 0.0 μB per formula unit. As for the mass density: 4.90 g/cm3. The formation energy (no corrections) comes out at -1.435 eV per atom. The value obtained for the offset from the most stable computed form is 0 meV per atom.

Unit cell a=6.5391 b=13.4160 c=21.0694 alpha=75.68 beta=90.00 gamma=90.00
Element x y z (fractional)
Ga: 0.1774 0.8853 0.9017
Ga: 0.3153 0.3027 0.0995
Ga: 0.8153 0.6973 0.4005
Ga: 0.6774 0.1147 0.5983
Ga: 0.3226 0.8853 0.4017
Ga: 0.6847 0.6973 0.9005
Ga: 0.8226 0.1147 0.0983
Ga: 0.1847 0.3027 0.5995
Se: 0.2534 0.8830 0.5139
Se: 0.8066 0.8739 0.8844
Se: 0.1934 0.1261 0.1156
Se: 0.3140 0.7289 0.8743
Se: 0.7369 0.6123 0.0174
Se: 0.2358 0.0423 0.3220
Se: 0.6934 0.8739 0.3844
Se: 0.4203 0.6874 0.1759
Se: 0.8140 0.2711 0.6257
Se: 0.5508 0.3139 0.3254
Se: 0.2642 0.0423 0.8220
Se: 0.7631 0.6123 0.5174
Se: 0.7534 0.1170 0.9861
Se: 0.9492 0.3139 0.8254
Se: 0.7279 0.5800 0.3364
Se: 0.6860 0.2711 0.1257
Se: 0.7721 0.5800 0.8364
Se: 0.7358 0.9577 0.1780
Se: 0.2466 0.8830 0.0139
Se: 0.5797 0.3126 0.8241
Se: 0.1860 0.7289 0.3743
Se: 0.2369 0.3877 0.4826
Se: 0.4492 0.6861 0.6746
Se: 0.2631 0.3877 0.9826
Se: 0.9203 0.3126 0.3241
Se: 0.7642 0.9577 0.6780
Se: 0.7466 0.1170 0.4861
Se: 0.0508 0.6861 0.1746
Se: 0.2279 0.4200 0.1636
Se: 0.0797 0.6874 0.6759
Se: 0.2721 0.4200 0.6636
Se: 0.3066 0.1261 0.6156
Ba: 0.2663 0.8925 0.7171
Ba: 0.2391 0.6190 0.0382
Ba: 0.7609 0.3810 0.9618
Ba: 0.7663 0.1075 0.7829
Ba: 0.7552 0.8554 0.5481
Ba: 0.2337 0.8925 0.2171
Ba: 0.2674 0.5285 0.8129
Ba: 0.7326 0.4715 0.1871
Ba: 0.2609 0.6190 0.5382
Ba: 0.7391 0.3810 0.4618
Ba: 0.7337 0.1075 0.2829
Ba: 0.7674 0.4715 0.6871
Ba: 0.7448 0.8554 0.0481
Ba: 0.2326 0.5285 0.3129
Ba: 0.2448 0.1446 0.4519
Ba: 0.2552 0.1446 0.9519

=====

(4)
This record from Alexandria via LeMat-Bulk describes an optimized crystal structure of SrSb3F. The functional is PBE.

Results
The density of states at the Fermi level comes out at 1.292 states/eV/atom. For the total magnetic moment, the calculation gives 0.0 μB per formula unit. As for the mass density: 3.54 g/cm3. The formation energy (no corrections) comes out at 0.620 eV per atom. The value obtained for the offset from the most stable computed form is 1298 meV per atom.

Unit cell a=6.0472 b=6.0472 c=6.0472 alpha=90.00 beta=90.00 gamma=90.00
Element x y z (fractional)
Sb: 0.0000 0.5000 0.0000
Sb: 0.5000 0.0000 0.0000
Sb: 0.0000 0.0000 0.5000
Sr: 0.0000 0.0000 0.0000
F: 0.5000 0.5000 0.5000